Record 1
# FePPt4

A relaxed FePPt4 crystal (PBE, Alexandria via LeMat-Bulk).

Computed properties:
**Energy relative to the elements**: 438 meV per atom
**Mass density**: 14.1 g cm⁻³

```
FePPt4
1.0
0.000 3.706 3.706
3.706 0.000 3.706
3.706 3.706 0.000
Pt Fe P
4 1 1
Direct
0.375 0.375 0.875 Pt
0.375 0.875 0.375 Pt
0.875 0.375 0.375 Pt
0.375 0.375 0.375 Pt
0.750 0.750 0.750 Fe
0.000 0.000 0.000 P
```


Record 2
# Rb3HfU3Te8

A relaxed Rb3HfU3Te8 crystal (PBE, Alexandria via LeMat-Bulk).

Computed properties:
**Uncorrected formation energy**: -0.832 eV/atom
**Mass density**: 6.1 g cm⁻³

```
Rb3HfU3Te8
1.0
-0.975 -4.723 7.299
0.100 -3.968 -7.796
9.075 3.299 3.347
Te U Rb Hf
8 3 3 1
Direct
0.265 0.530 0.294 Te
0.735 0.470 0.706 Te
0.748 0.971 0.694 Te
0.777 0.554 0.306 Te
0.777 0.029 0.306 Te
0.252 0.029 0.306 Te
0.223 0.971 0.694 Te
0.223 0.446 0.694 Te
0.500 0.000 0.500 U
0.000 0.500 0.500 U
0.500 0.500 0.500 U
0.000 0.000 0.000 Rb
0.500 0.500 0.000 Rb
0.000 0.500 0.000 Rb
0.000 0.000 0.500 Hf
```


Record 3
# MoOsBr

A relaxed MoOsBr crystal (PBE, Alexandria via LeMat-Bulk).

Computed properties:
**Energy above the lowest structure with this stoichiometry**: 0 meV/atom
**Uncorrected formation energy**: 0.560 eV/atom
**Mass density**: 11.8 g cm⁻³

```
MoOsBr
1.0
-0.640 5.663 -2.122
-4.442 3.817 -1.637
2.438 -4.005 3.873
Os Br Mo
1 1 1
Direct
0.688 0.688 0.000 Os
0.990 0.990 0.000 Br
0.322 0.322 0.000 Mo
```


Record 4
# CsPtI

A relaxed CsPtI crystal (PBE, Alexandria via LeMat-Bulk).

Computed properties:
**Energy above the lowest structure with this stoichiometry**: 302 meV/atom
**Uncorrected formation energy**: -0.282 eV/atom
**Mass density**: 6.2 g cm⁻³

```
CsPtI
1.0
3.620 -0.014 -0.715
1.721 4.217 -0.807
-0.541 -0.652 16.106
Cs Pt I
2 2 2
Direct
0.361 0.397 0.308 Cs
0.639 0.603 0.692 Cs
0.851 0.796 0.500 Pt
0.149 0.204 0.500 Pt
0.942 0.881 0.133 I
0.058 0.119 0.867 I
```


Record 5
# YCdNi

A relaxed YCdNi crystal (PBE, Alexandria via LeMat-Bulk).

Computed properties:
**Energy relative to the elements**: -223 meV per atom
**Mass density**: 6.8 g cm⁻³

```
YCdNi
1.0
-0.862 -2.423 3.727
4.024 -0.349 -2.047
1.253 2.648 2.012
Cd Ni Y
1 1 1
Direct
0.000 0.000 0.167 Cd
0.333 0.667 0.167 Ni
0.667 0.333 0.667 Y
```


Record 6
# ScHI

A relaxed ScHI crystal (PBE, Alexandria via LeMat-Bulk).

Computed properties:
**Electronic total energy**: -4.46 eV per atom
**Mass density**: 4.2 g cm⁻³

```
ScHI
1.0
-3.419 1.212 0.415
-1.121 -3.490 0.954
1.882 2.019 9.600
Sc H I
2 2 2
Direct
0.000 0.500 0.394 Sc
0.500 0.000 0.606 Sc
0.000 0.000 0.490 H
0.500 0.500 0.510 H
0.500 0.500 0.176 I
0.000 0.000 0.824 I
```


Record 7
# Nd2SnIr

A relaxed Nd2SnIr crystal (PBE, Alexandria via LeMat-Bulk).

Computed properties:
**Energy above the lowest structure with this stoichiometry**: 78 meV/atom
**Energy relative to the elements**: -630 meV per atom
**Mass density**: 9.6 g cm⁻³

```
Nd2SnIr
1.0
-0.730 -3.446 0.513
3.039 -0.373 1.815
-3.923 1.867 6.952
Nd Sn Ir
2 1 1
Direct
0.000 0.000 0.211 Nd
0.000 0.000 0.789 Nd
0.500 0.500 0.500 Sn
0.500 0.500 0.000 Ir
```


Record 8
# BeP3Ru

A relaxed BeP3Ru crystal (PBE, Alexandria via LeMat-Bulk).

Computed properties:
**Energy above the lowest structure with this stoichiometry**: 157 meV/atom
**Energy relative to the elements**: 1005 meV per atom
**Mass density**: 3.5 g cm⁻³

```
BeP3Ru
1.0
4.571 0.000 0.000
0.000 4.571 0.000
0.000 0.000 4.571
P Ru Be
3 1 1
Direct
0.000 0.000 0.500 P
0.000 0.500 0.000 P
0.500 0.000 0.000 P
0.000 0.000 0.000 Ru
0.500 0.500 0.500 Be
```